Computed, not measured: SmHoMgAu after structural relaxation at the PBE-GGA level of DFT.

M_tot in μB per formula unit: 0.00
Volume in Å³ per cell: 405.92
N(E_F) in states/eV per atom: 0.658
E_form in eV/atom: -0.3939
ΔE to the lowest computed polymorph in meV per atom: 64.8
SG: No. 216

Cell: 7.4042 7.4042 7.4042 Å, 90.00 90.00 90.00°
Last column: nearest neighbours and their distance in Å.
Fractional positions:
Sm 0.0000 0.0000 0.0000  4 Mg 3.21, 4 Au 3.21
Sm 0.0000 0.5000 0.5000  4 Mg 3.21, 4 Au 3.21
Sm 0.5000 0.0000 0.5000  4 Mg 3.21, 4 Au 3.21
Sm 0.5000 0.5000 0.0000  4 Mg 3.21, 4 Au 3.21
Ho 0.0000 0.0000 0.5000  4 Au 3.21, 4 Mg 3.21
Ho 0.0000 0.5000 0.0000  4 Au 3.21, 4 Mg 3.21
Ho 0.5000 0.0000 0.0000  4 Au 3.21, 4 Mg 3.21
Ho 0.5000 0.5000 0.5000  4 Au 3.21, 4 Mg 3.21
Mg 0.2500 0.2500 0.7500  4 Ho 3.21, 4 Sm 3.21
Mg 0.2500 0.7500 0.2500  4 Ho 3.21, 4 Sm 3.21
Mg 0.7500 0.2500 0.2500  4 Ho 3.21, 4 Sm 3.21
Mg 0.7500 0.7500 0.7500  4 Ho 3.21, 4 Sm 3.21
Au 0.2500 0.2500 0.2500  4 Sm 3.21, 4 Ho 3.21
Au 0.2500 0.7500 0.7500  4 Ho 3.21, 4 Sm 3.21
Au 0.7500 0.2500 0.7500  4 Ho 3.21, 4 Sm 3.21
Au 0.7500 0.7500 0.2500  4 Ho 3.21, 4 Sm 3.21

---

Computed, not measured: HoMgSnAu after structural relaxation at the PBE-GGA level of DFT.

M_tot in μB per formula unit: 0.00
Volume in Å³ per cell: 363.78
N(E_F) in states/eV per atom: 0.322
E_form in eV/atom: -0.5971
SG: No. 216

Cell: 7.1386 7.1386 7.1386 Å, 90.00 90.00 90.00°
Last column: nearest neighbours and their distance in Å.
Fractional positions:
Ho 0.0000 0.0000 0.0000  4 Sn 3.09, 4 Au 3.09
Ho 0.0000 0.5000 0.5000  4 Sn 3.09, 4 Au 3.09
Ho 0.5000 0.0000 0.5000  4 Sn 3.09, 4 Au 3.09
Ho 0.5000 0.5000 0.0000  4 Sn 3.09, 4 Au 3.09
Mg 0.0000 0.0000 0.5000  4 Sn 3.09, 4 Au 3.09
Mg 0.0000 0.5000 0.0000  4 Sn 3.09, 4 Au 3.09
Mg 0.5000 0.0000 0.0000  4 Sn 3.09, 4 Au 3.09
Mg 0.5000 0.5000 0.5000  4 Sn 3.09, 4 Au 3.09
Sn 0.2500 0.2500 0.7500  4 Ho 3.09, 4 Mg 3.09
Sn 0.2500 0.7500 0.2500  4 Ho 3.09, 4 Mg 3.09
Sn 0.7500 0.2500 0.2500  4 Ho 3.09, 4 Mg 3.09
Sn 0.7500 0.7500 0.7500  4 Ho 3.09, 4 Mg 3.09
Au 0.2500 0.2500 0.2500  4 Ho 3.09, 4 Mg 3.09
Au 0.2500 0.7500 0.7500  4 Ho 3.09, 4 Mg 3.09
Au 0.7500 0.2500 0.7500  4 Ho 3.09, 4 Mg 3.09
Au 0.7500 0.7500 0.2500  4 Ho 3.09, 4 Mg 3.09